(1)
Material: LaY2TlRh
Method: DFT, PBE
State: optimized geometry

The calculation puts the mass density at 6.50 g/cm³. Its total moment is 0.0 μB per formula unit. For the energy of formation, the calculation gives -0.353 eV per atom.

It has space group P4/mmm (No. 123), with a = 5.4147 Å, b = 5.4147 Å, c = 5.4359 Å, α = 90.00°, β = 90.00° and γ = 90.00°. The distinct sites, in fractional coordinates, are La at (0.0000, 0.0000, 0.0000), Y at (0.0000, 0.5000, 0.5000), Tl at (0.5000, 0.5000, 0.0000) and Rh at (0.0000, 0.0000, 0.5000).

=====

(2)
Material: La2TlZnRh
Method: DFT, PBE
State: optimized geometry

The calculation puts the mass density at 8.29 g/cm³. Its total moment is 0.0 μB per formula unit. For the energy of formation, the calculation gives -0.528 eV per atom. The energy relative to the lowest polymorph listed for this composition comes out at 0.000 eV per atom.

It has space group P2_1/m (No. 11), with a = 7.3672 Å, b = 4.5852 Å, c = 8.0971 Å, α = 90.00°, β = 107.79° and γ = 90.00°. The distinct sites, in fractional coordinates, are La at (0.1418, 0.2500, 0.3390), La at (0.2759, 0.2500, 0.9486), Tl at (0.3222, 0.7500, 0.6524), Zn at (0.4462, 0.7500, 0.3233) and Rh at (0.1213, 0.7500, 0.0873).